# 1
# MnBe2Ni PBEsol relaxed
data_MnBe2Ni
_cell_length_a 2.589
_cell_length_b 2.589
_cell_length_c 5.391
_cell_angle_alpha 90.00
_cell_angle_beta 90.00
_cell_angle_gamma 90.00
_symmetry_space_group_name_H-M 'P 4/m m m'
_symmetry_Int_Tables_number 123
_symmetry_space_group_name_Hall '-P 4 2'
loop_
_atom_site_label
_atom_site_type_symbol
_atom_site_fract_x
_atom_site_fract_y
_atom_site_fract_z
_atom_site_occupancy
Mn1 Mn 0.000 0.000 0.000 1
Be1 Be 0.500 0.500 0.266 1
Ni1 Ni 0.000 0.000 0.500 1
# **Formation energy**: -0.25 eV/atom
# **Calculated volume**: 36.12 Å³/cell

***

# 2
# Mn2BeNi PBEsol relaxed
data_Mn2BeNi
_cell_length_a 2.846
_cell_length_b 3.490
_cell_length_c 3.898
_cell_angle_alpha 90.00
_cell_angle_beta 90.00
_cell_angle_gamma 90.00
_symmetry_space_group_name_H-M 'P m m m'
_symmetry_Int_Tables_number 47
_symmetry_space_group_name_Hall '-P 2 2'
loop_
_atom_site_label
_atom_site_type_symbol
_atom_site_fract_x
_atom_site_fract_y
_atom_site_fract_z
_atom_site_occupancy
Mn1 Mn 0.000 0.000 0.000 1
Mn2 Mn 0.500 0.500 0.000 1
Be1 Be 0.000 0.500 0.500 1
Ni1 Ni 0.500 0.000 0.500 1
# **Formation energy**: -0.03 eV/atom
# **Calculated volume**: 38.72 Å³/cell

***

# 3
# MnBe2Ni PBEsol relaxed
data_MnBe2Ni
_cell_length_a 2.3967
_cell_length_b 2.3967
_cell_length_c 22.2394
_cell_angle_alpha 90.00
_cell_angle_beta 90.00
_cell_angle_gamma 120.00
_symmetry_space_group_name_H-M 'R -3 m'
_symmetry_Int_Tables_number 166
_symmetry_space_group_name_Hall '-R 3 2"'
loop_
_atom_site_label
_atom_site_type_symbol
_atom_site_fract_x
_atom_site_fract_y
_atom_site_fract_z
_atom_site_occupancy
Mn1 Mn 0.0000 0.0000 0.0000 1
Be1 Be 0.0000 0.0000 0.2480 1
Ni1 Ni 0.0000 0.0000 0.5000 1
# **Formation energy**: -0.07 eV/atom
# **Calculated volume**: 110.63 Å³/cell